The following is a PBE calculation of crystalline Pr4Rh2Pb at its relaxed geometry, from Alexandria via LeMat-Bulk.

Output
Magnetic moment, μB per cell: 0.0
Total DFT energy (no corrections), eV/atom: -5.85

Lattice parameters (Å, degrees): 4.7897 4.7897 10.7534 77.13 77.13 60.00
Closest atoms and distances in Å follow each position.
Element x y z (fractional)
Pr 0.2019 0.2019 0.3944  4 Rh 2.93-3.15
Pr 0.7981 0.7981 0.6056  4 Rh 2.93-3.15
Pr 0.6127 0.6127 0.1620  3 Rh 3.12, 3 Pb 3.24
Pr 0.3873 0.3873 0.8380  3 Rh 3.12, 3 Pb 3.24
Rh 0.8993 0.8993 0.3020  7 Pr 2.93-3.15, 1 Pb 3.14
Rh 0.1007 0.1007 0.6980  7 Pr 2.93-3.15, 1 Pb 3.14
Pb 0.0000 0.0000 0.0000  2 Rh 3.14, 6 Pr 3.24